1.
A plane-wave DFT calculation with PBE was carried out for a geometry-optimized GaPO2F structure.

Lattice parameters (Å, degrees): 3.5379 3.5379 4.8385 90.00 90.00 90.00
Positions (direct):
P (0.0000, 0.0000, 0.0000)
O (0.0000, 0.5000, 0.0000)
O (0.5000, 0.0000, 0.0000)
Ga (0.5000, 0.5000, 0.5000)
F (0.0000, 0.0000, 0.5000)

Crystal system = tetragonal
Total moment = 0.000 μB/atom
Energy = -5.044 eV/atom


2.
A plane-wave DFT calculation with PBE was carried out for a geometry-optimized GaPO2F structure.

Lattice parameters (Å, degrees): 4.4335 4.4335 3.5122 90.00 90.00 90.00
Each line ends with the local moment (μB).
Positions (direct):
P (0.0000, 0.0000, 0.5000)  -0.07
O (0.0000, 0.5000, 0.0000)  0.67
O (0.5000, 0.0000, 0.0000)  0.67
Ga (0.5000, 0.5000, 0.5000)  0.05
F (0.0000, 0.0000, 0.0000)  0.10

Crystal system = tetragonal
Total moment = 0.312 μB/atom
Energy = -3.466 eV/atom


3.
A plane-wave DFT calculation with PBE was carried out for a geometry-optimized GaPO2F structure.

Lattice parameters (Å, degrees): 3.6372 3.6372 5.6515 90.00 90.00 90.00
Each line ends with the local moment (μB).
Positions (direct):
P (0.0000, 0.0000, 0.5000)  0.46
O (0.0000, 0.5000, 0.0000)  0.53
O (0.5000, 0.0000, 0.0000)  0.53
Ga (0.0000, 0.0000, 0.0000)  -0.01
F (0.5000, 0.5000, 0.5000)  -0.02

Crystal system = tetragonal
Total moment = 0.429 μB/atom
Energy = -4.256 eV/atom


4.
A plane-wave DFT calculation with PBE was carried out for a geometry-optimized GaPO2F structure.

Lattice parameters (Å, degrees): 3.8798 3.8798 3.7879 90.00 90.00 90.00
Positions (direct):
P (0.5000, 0.5000, 0.5000)
O (0.0000, 0.5000, 0.0000)
O (0.5000, 0.0000, 0.0000)
Ga (0.0000, 0.0000, 0.0000)
F (0.0000, 0.0000, 0.5000)

Crystal system = tetragonal
Total moment = 0.000 μB/atom
Energy = -4.747 eV/atom